(1)
ZnCd2Br | PBE-GGA | relaxed

extended XYZ file:
```
4
Lattice="-5.616 -1.355 -3.257 -0.621 -1.721 -6.374 3.373 -1.305 5.558" Properties=species:S:1:pos:R:3 pbc="T T T"
Zn -0.183 -2.282 -2.816
Cd -3.118 -1.538 -4.816
Cd 0.000 0.000 0.000
Br -2.680 -2.099 -1.257
```

Properties
distance to the lowest polymorph of the same formula	186.7	meV per atom
uncorrected formation energy	4.0	kJ/mol of atoms
SG	I4/mmm

=====

(2)
PuMgAlZn | PBE-GGA | relaxed

extended XYZ file:
```
4
Lattice="4.881 0.000 0.000 2.440 4.227 0.000 2.440 1.409 3.985" Properties=species:S:1:pos:R:3 pbc="T T T"
Zn 0.000 0.000 0.000
Pu 2.440 1.409 0.996
Mg 7.321 4.227 2.989
Al 4.881 2.818 1.993
```

Properties
formation energy	-0.123	eV/atom
SG	F-43m

=====

(3)
SrCd3Ir | PBE-GGA | relaxed

extended XYZ file:
```
5
Lattice="-3.758 0.999 4.815 -0.343 -6.098 0.998 4.905 0.339 3.758" Properties=species:S:1:pos:R:3 pbc="T T T"
Cd 2.453 0.170 1.879
Cd -0.171 -3.049 0.499
Cd -1.879 0.499 2.407
Sr 0.000 0.000 0.000
Ir 0.402 -2.380 4.785
```

Properties
distance to the lowest polymorph of the same formula	1719.6	meV per atom
formation energy	1.629	eV/atom
SG	Pm-3m

=====

(4)
Y2TmAl3 | PBE-GGA | relaxed

extended XYZ file:
```
6
Lattice="3.579 0.000 0.000 0.000 3.579 0.000 0.000 0.000 10.809" Properties=species:S:1:pos:R:3 pbc="T T T"
Y 1.790 1.790 8.981
Y 1.790 1.790 1.828
Al 0.000 0.000 3.662
Al 0.000 0.000 0.000
Al 0.000 0.000 7.147
Tm 1.790 1.790 5.405
```

Properties
formation energy	-0.409	eV/atom
SG	P4/mmm

=====

(5)
SiMo2Rh | PBE-GGA | relaxed

extended XYZ file:
```
4
Lattice="4.133 0.000 0.000 0.000 2.773 0.003 0.000 2.317 5.097" Properties=species:S:1:pos:R:3 pbc="T T T"
Mo 0.000 4.972 5.035
Mo 0.000 2.663 2.614
Si 2.066 3.818 3.825
Rh 2.066 1.273 1.275
```

Properties
uncorrected formation energy	-22.5	kJ/mol of atoms
SG	P2/m

=====

(6)
Ba2NaSi | PBE-GGA | relaxed

extended XYZ file:
```
8
Lattice="4.768 0.000 0.000 -2.384 7.413 -0.393 0.000 -0.087 9.425" Properties=species:S:1:pos:R:3 pbc="T T T"
Ba 2.384 6.923 6.368
Ba 0.000 0.403 2.664
Ba 0.000 3.291 6.067
Ba 2.384 4.035 2.965
Na 0.000 5.286 0.105
Na 2.384 2.039 8.927
Si 2.384 1.157 4.978
Si 0.000 6.168 4.055
```

Properties
distance to the lowest polymorph of the same formula	0.0	meV per atom
uncorrected formation energy	-18.0	kJ/mol of atoms
SG	C2/m